This record from Alexandria describes an optimized crystal structure of SrCeS2. The functional is PBE.

Calculated values
* raw formation energy: -735.5 kJ/mol of formula units
* space-group type: R3m (160)
* offset from the most stable computed form: 0.42 eV/f.u.
* E: -5.873 eV per atom

a b c (Å): 4.053 4.053 7.612
angles (deg): 74.56 74.56 60.00
Site moments in Bohr magnetons follow the coordinates.
Positions (direct):
Sr  0.496  0.496  0.513  0.02
Ce  0.670  0.670  0.991  1.03
S  0.080  0.080  0.761  -0.02
S  0.255  0.255  0.235  -0.02

---

This record from Alexandria describes an optimized crystal structure of SrCeS. The functional is PBE.

Calculated values
* raw formation energy: -244.2 kJ/mol of formula units
* space-group type: Immm (71)
* E: -4.758 eV per atom

a b c (Å): 5.174 3.853 9.360
angles (deg): 101.88 106.04 90.00
Site moments in Bohr magnetons follow the coordinates.
Positions (direct):
Sr  0.674  0.174  0.348  0.02
Sr  0.326  0.826  0.652  0.02
Ce  0.753  0.500  0.000  0.86
Ce  0.247  0.500  0.000  0.86
S  0.158  0.658  0.316  0.00
S  0.842  0.342  0.684  0.00

---

This record from Alexandria describes an optimized crystal structure of Sr3CeS4. The functional is PBE.

Calculated values
* raw formation energy: -1575.3 kJ/mol of formula units
* space-group type: Pm-3m (221)
* offset from the most stable computed form: 0.09 eV/f.u.
* E: -5.477 eV per atom

a b c (Å): 5.971 5.971 5.971
angles (deg): 90.00 90.00 90.00
Site moments in Bohr magnetons follow the coordinates.
Positions (direct):
Sr  0.000  0.500  0.500  0.01
Sr  0.500  0.000  0.500  0.01
Sr  0.500  0.500  0.000  0.01
S  0.500  0.000  0.000  -0.02
S  0.000  0.500  0.000  -0.02
S  0.000  0.000  0.500  -0.02
S  0.500  0.500  0.500  0.00
Ce  0.000  0.000  0.000  1.13

---

This record from Alexandria describes an optimized crystal structure of SrCe2S4. The functional is PBE.

Calculated values
* raw formation energy: -1358.5 kJ/mol of formula units
* space-group type: Cmcm (63)
* offset from the most stable computed form: 0.10 eV/f.u.
* E: -6.306 eV per atom

a b c (Å): 4.071 7.053 13.606
angles (deg): 90.00 90.00 106.77
Site moments in Bohr magnetons follow the coordinates.
Positions (direct):
Sr  0.615  0.229  0.750  0.00
Sr  0.385  0.771  0.250  0.00
Ce  0.131  0.263  0.432  0.86
Ce  0.869  0.737  0.932  0.86
Ce  0.131  0.263  0.068  0.86
Ce  0.869  0.737  0.568  0.86
S  0.770  0.539  0.116  -0.02
S  0.770  0.539  0.384  -0.02
S  0.230  0.461  0.884  -0.02
S  0.230  0.461  0.616  -0.02
S  0.958  0.916  0.750  -0.02
S  0.042  0.084  0.250  -0.02
S  0.500  0.000  0.000  -0.03
S  0.500  0.000  0.500  -0.03

---

This record from Alexandria describes an optimized crystal structure of SrCe2S4. The functional is PBE.

Calculated values
* raw formation energy: -1368.4 kJ/mol of formula units
* space-group type: I-42d (122)
* offset from the most stable computed form: 0.00 eV/f.u.
* E: -6.320 eV per atom

a b c (Å): 7.519 7.519 7.519
angles (deg): 109.45 109.45 109.51
Site moments in Bohr magnetons follow the coordinates.
Positions (direct):
Sr  0.250  0.750  0.500  0.00
Sr  0.500  0.500  0.000  0.00
Ce  0.375  0.998  0.123  0.94
Ce  0.748  0.625  0.623  0.94
Ce  0.875  0.252  0.877  0.94
Ce  0.002  0.125  0.377  0.94
S  0.115  0.518  0.749  -0.02
S  0.116  0.019  0.751  -0.02
S  0.634  0.885  0.403  -0.02
S  0.268  0.365  0.249  -0.02
S  0.482  0.231  0.597  -0.02
S  0.635  0.884  0.903  -0.02
S  0.769  0.366  0.251  -0.02
S  0.981  0.732  0.097  -0.02

---

This record from Alexandria describes an optimized crystal structure of SrCeS3. The functional is PBE.

Calculated values
* raw formation energy: -880.4 kJ/mol of formula units
* space-group type: C2/m (12)
* E: -5.825 eV per atom

a b c (Å): 4.966 7.849 8.175
angles (deg): 96.10 90.00 108.44
Positions (direct):
Sr  0.359  0.718  0.630
Sr  0.641  0.282  0.370
Ce  0.129  0.258  0.912
Ce  0.871  0.742  0.088
S  0.951  0.901  0.799
S  0.049  0.099  0.201
S  0.678  0.355  0.011
S  0.322  0.645  0.989
S  0.838  0.675  0.400
S  0.162  0.325  0.600

---

Among the records above, which one has the lowest raw formation energy? Sr3CeS4

---

What is the formula in the fourth record? SrCe2S4